Material: Zr2Zn5Pd2Au3
Method: DFT, PBE
State: optimized geometry

Cell lengths 3.7242, 3.7242, 15.3098 Å; angles 96.99, 96.99, 90.00 degrees
Last column: nearest neighbours and their distance in Å.
Fractional positions:
1 Zr 0.7198 0.7198 0.4395  1 Pd 2.70, 4 Au 2.97
2 Zr 0.2802 0.2802 0.5605  1 Pd 2.70, 4 Au 2.97
3 Zn 0.5720 0.0720 0.1439  2 Pd 2.56, 6 Zn 2.63-2.86, 2 Au 2.86
4 Zn 0.4280 0.9280 0.8561  2 Pd 2.56, 6 Zn 2.63-2.86, 2 Au 2.86
5 Zn 0.0720 0.5720 0.1439  2 Pd 2.56, 6 Zn 2.63-2.86, 2 Au 2.86
6 Zn 0.9280 0.4280 0.8561  2 Pd 2.56, 6 Zn 2.63-2.86, 2 Au 2.86
7 Zn 0.5000 0.5000 0.0000  4 Au 2.63, 8 Zn 2.86
8 Pd 0.3699 0.3699 0.7397  4 Zn 2.56, 1 Zr 2.70
9 Pd 0.6301 0.6301 0.2603  4 Zn 2.56, 1 Zr 2.70
10 Au 0.1745 0.1745 0.3490  4 Pd 2.95, 5 Zr 2.97-3.19
11 Au 0.8255 0.8255 0.6510  4 Pd 2.95, 5 Zr 2.97-3.19
12 Au 0.0000 0.0000 0.0000  12 Zn 2.63-2.86

Results
- Formation enthalpy at 0 K: -6.09 kcal/mol of atoms